This record from the Open Quantum Materials Database describes a relaxed CsHgGe crystal. The functional is PBE.

The structure in POSCAR format:
```
CsHgGe
1.0
-3.265 2.078 3.869
-3.280 4.223 -1.166
-5.414 -0.742 -0.299
Cs Ge Hg
1 1 1
Direct
0.250 0.250 0.250
0.000 0.000 0.000
0.750 0.750 0.750
```

* space group: F-43m
* E: -1.5540 eV/atom